# FeSbAs PBE optimized geometry
data_FeSbAs
_chemical_formula_sum 'Fe4 Sb4 As4'
_space_group_name_H-M_alt 'P 1'
_space_group_IT_number 1
_space_group_name_Hall 'P 1'
_cell_length_a 4.8407
_cell_length_b 3.6413
_cell_length_c 12.8876
_cell_angle_alpha 90.00
_cell_angle_beta 97.01
_cell_angle_gamma 90.00
loop_
_atom_site_label
_atom_site_type_symbol
_atom_site_fract_x
_atom_site_fract_y
_atom_site_fract_z
As1 As 0.2681 0.0000 0.7729
As2 As 0.7329 0.5000 0.6425
Fe1 Fe 0.7815 0.5000 0.2596
Sb1 Sb 0.6603 0.0000 0.3967
Sb2 Sb 0.2000 0.5000 0.5306
Fe2 Fe 0.1516 0.5000 0.8866
Sb3 Sb 0.6603 0.5000 0.8967
As3 As 0.7329 0.0000 0.1425
Sb4 Sb 0.2000 0.0000 0.0306
As4 As 0.2681 0.5000 0.2729
Fe3 Fe 0.7815 0.0000 0.7596
Fe4 Fe 0.1516 0.0000 0.3866
# crystal system	monoclinic
# offset from the most stable computed form	181	meV/atom

# DyNpTl2O6 PBE optimized geometry
data_DyNpTl2O6
_chemical_formula_sum 'Dy2 Np2 Tl4 O12'
_space_group_name_H-M_alt 'P 1'
_space_group_IT_number 1
_space_group_name_Hall 'P 1'
_cell_length_a 6.1316
_cell_length_b 6.1321
_cell_length_c 8.6715
_cell_angle_alpha 90.00
_cell_angle_beta 90.00
_cell_angle_gamma 90.00
loop_
_atom_site_label
_atom_site_type_symbol
_atom_site_fract_x
_atom_site_fract_y
_atom_site_fract_z
O1 O 0.7355 0.2355 0.5009
O2 O 0.5017 0.0000 0.2645
O3 O 0.0017 0.5000 0.7645
Tl1 Tl 0.0000 0.0001 0.2500
O4 O 0.2645 0.2355 0.4991
O5 O 0.7645 0.7355 0.9991
Dy1 Dy 0.5000 0.0000 0.0000
Np1 Np 0.0000 0.5000 0.0000
Tl2 Tl 0.5000 0.5001 0.2500
Tl3 Tl 0.0000 0.9999 0.7500
O6 O 0.2645 0.7645 0.4991
O7 O 0.4983 0.0000 0.7355
O8 O 0.7645 0.2645 0.9991
O9 O 0.2355 0.7355 0.0009
Tl4 Tl 0.5000 0.4999 0.7500
Np2 Np 0.5000 0.0000 0.5000
O10 O 0.2355 0.2645 0.0009
O11 O 0.7355 0.7645 0.5009
Dy2 Dy 0.0000 0.5000 0.5000
O12 O 0.9983 0.5000 0.2355
# crystal system	monoclinic

# AlReSN2 PBE optimized geometry
data_AlReSN2
_chemical_formula_sum 'Al1 Re1 S1 N2'
_space_group_name_H-M_alt 'P 1'
_space_group_IT_number 1
_space_group_name_Hall 'P 1'
_cell_length_a 3.8234
_cell_length_b 3.8234
_cell_length_c 5.1798
_cell_angle_alpha 90.00
_cell_angle_beta 90.00
_cell_angle_gamma 90.00
loop_
_atom_site_label
_atom_site_type_symbol
_atom_site_fract_x
_atom_site_fract_y
_atom_site_fract_z
N1 N 0.0000 0.5000 0.0000
Re1 Re 0.0000 0.0000 0.0000
N2 N 0.5000 0.0000 0.0000
Al1 Al 0.5000 0.5000 0.5000
S1 S 0.0000 0.0000 0.5000
# crystal system	tetragonal
# offset from the most stable computed form	0	meV/atom

Number 1: ΔE_f (raw) 49 meV per atom. Number 2: ΔE_f (raw) -2278 meV per atom. Number 3: ΔE_f (raw) 351 meV per atom.